The following is a PBE calculation of crystalline HfTl2W2 at its relaxed geometry, from Alexandria.

For the energy of formation from the pure elements, the calculation gives 485 kJ/mol of formula units. Its space group is I4/mmm. The value obtained for the energy above the most stable polymorph in this dataset is 121.0 meV per atom.

a b c (Å): 4.0027 4.0027 7.5951
angles (deg): 74.72 74.72 90.00
Sites, in units of the cell vectors:
1 Tl 0.7500 0.2500 0.5000
2 Tl 0.2500 0.7500 0.5000
3 Hf 0.0000 0.0000 0.0000
4 W 0.4166 0.4166 0.1669
5 W 0.5834 0.5834 0.8331